Entry 1:
! Ca2UTiAs4 PBE optimized geometry; values from VASP
! D(E_F) = 7.7 states/eV per cell
! crystal system = monoclinic
! calculated formation energy = -0.960 eV/atom
! spin magnetization = 0.24 μB/atom
&SYSTEM
  ibrav = 0, nat = 8, ntyp = 4
/
ATOMIC_SPECIES
Ca 40.08 Ca.upf
U 238.03 U.upf
Ti 47.87 Ti.upf
As 74.92 As.upf
CELL_PARAMETERS angstrom
6.870 0.000 0.000
0.000 4.022 0.000
-2.297 0.000 6.808
ATOMIC_POSITIONS crystal
Ca 0.000 0.000 0.000
Ca 0.500 0.500 0.000
U 0.000 0.500 0.500
Ti 0.500 0.000 0.500
As 0.256 0.000 0.725
As 0.272 0.500 0.283
As 0.728 0.500 0.717
As 0.744 0.000 0.275

Entry 2:
! CaYTi2As PBE optimized geometry; values from VASP
! D(E_F) = 5.4 states/eV per cell
! crystal system = tetragonal
! calculated formation energy = 1.387 eV/atom
! spin magnetization = 0.46 μB/atom
&SYSTEM
  ibrav = 0, nat = 5, ntyp = 4
/
ATOMIC_SPECIES
Ca 40.08 Ca.upf
Y 88.91 Y.upf
Ti 47.87 Ti.upf
As 74.92 As.upf
CELL_PARAMETERS angstrom
4.637 0.000 0.000
0.000 4.637 0.000
0.000 0.000 5.680
ATOMIC_POSITIONS crystal
Ca 0.000 0.000 0.000
Y 0.000 0.000 0.500
Ti 0.000 0.500 0.000
Ti 0.500 0.000 0.000
As 0.500 0.500 0.500